1.
Entry from OQMD via LeMat-Bulk: an optimized crystal structure of NaAsPd (PBE).

Structure (POSCAR):
```
NaAsPd
1.0
6.183 0.000 0.000
0.000 6.183 0.000
0.000 0.000 6.183
Na As Pd
4 4 4
direct
0.000 0.000 0.000 Na
0.000 0.500 0.500 Na
0.500 0.000 0.500 Na
0.500 0.500 0.000 Na
0.000 0.000 0.500 As
0.000 0.500 0.000 As
0.500 0.000 0.000 As
0.500 0.500 0.500 As
0.250 0.250 0.750 Pd
0.250 0.750 0.250 Pd
0.750 0.250 0.250 Pd
0.750 0.750 0.750 Pd
```

Values from the calculation:
Its space group is F-43m (216). The value obtained for the total energy is -3.90 eV/atom.


2.
Entry from OQMD via LeMat-Bulk: an optimized crystal structure of NaReAu3S4 (PBE).

Structure (POSCAR):
```
NaReAu3S4
1.0
6.088 0.000 0.000
0.000 6.088 0.000
0.000 0.000 6.088
Na Re Au S
1 1 3 4
direct
0.000 0.000 0.000 Na
0.500 0.500 0.500 Re
0.000 0.500 0.500 Au
0.500 0.000 0.500 Au
0.500 0.500 0.000 Au
0.279 0.279 0.279 S
0.279 0.721 0.721 S
0.721 0.279 0.721 S
0.721 0.721 0.279 S
```

Values from the calculation:
Its space group is P-43m (215). The value obtained for the total energy is -4.40 eV/atom.


3.
Entry from OQMD via LeMat-Bulk: an optimized crystal structure of InAgMoSe2S (PBE).

Structure (POSCAR):
```
InAgMoSe2S
1.0
1.723 -8.431 0.000
1.723 8.431 0.000
0.000 0.000 9.522
In Ag Mo Se S
2 2 2 4 2
direct
0.156 0.844 0.750 In
0.844 0.156 0.250 In
0.210 0.790 0.250 Ag
0.790 0.210 0.750 Ag
0.500 0.500 0.000 Mo
0.500 0.500 0.500 Mo
0.111 0.889 0.038 Se
0.111 0.889 0.462 Se
0.889 0.111 0.538 Se
0.889 0.111 0.962 Se
0.467 0.533 0.250 S
0.533 0.467 0.750 S
```

Values from the calculation:
Its space group is Cmcm (63). The value obtained for the total energy is -4.84 eV/atom.


4.
Entry from OQMD via LeMat-Bulk: an optimized crystal structure of FeNiSnW (PBE).

Structure (POSCAR):
```
FeNiSnW
1.0
6.190 0.000 0.000
0.000 6.190 0.000
0.000 0.000 6.190
Fe Ni Sn W
4 4 4 4
direct
0.000 0.000 0.000 Fe
0.000 0.500 0.500 Fe
0.500 0.000 0.500 Fe
0.500 0.500 0.000 Fe
0.250 0.250 0.250 Ni
0.250 0.750 0.750 Ni
0.750 0.250 0.750 Ni
0.750 0.750 0.250 Ni
0.250 0.250 0.750 Sn
0.250 0.750 0.250 Sn
0.750 0.250 0.250 Sn
0.750 0.750 0.750 Sn
0.000 0.000 0.500 W
0.000 0.500 0.000 W
0.500 0.000 0.000 W
0.500 0.500 0.500 W
```

Values from the calculation:
Its space group is F-43m (216). For the energy above the most stable polymorph in this dataset, the calculation gives 234 meV per atom. The value obtained for the total energy is -7.25 eV/atom.


5.
Entry from OQMD via LeMat-Bulk: an optimized crystal structure of Y2CdInAu4 (PBE).

Structure (POSCAR):
```
Y2CdInAu4
1.0
4.949 0.000 0.000
0.000 4.949 0.000
0.000 0.000 6.999
Y Cd In Au
2 1 1 4
direct
0.000 0.000 0.000 Y
0.500 0.500 0.500 Y
0.000 0.000 0.500 Cd
0.500 0.500 0.000 In
0.000 0.500 0.250 Au
0.000 0.500 0.750 Au
0.500 0.000 0.250 Au
0.500 0.000 0.750 Au
```

Values from the calculation:
Its space group is P4/mmm (123). The value obtained for the total energy is -4.40 eV/atom.


6.
Entry from OQMD via LeMat-Bulk: an optimized crystal structure of ZnAgAu2 (PBE).

Structure (POSCAR):
```
ZnAgAu2
1.0
6.521 0.000 0.000
0.000 6.521 0.000
0.000 0.000 6.521
Zn Ag Au
4 4 8
direct
0.000 0.000 0.000 Zn
0.000 0.500 0.500 Zn
0.500 0.000 0.500 Zn
0.500 0.500 0.000 Zn
0.250 0.250 0.250 Ag
0.250 0.750 0.750 Ag
0.750 0.250 0.750 Ag
0.750 0.750 0.250 Ag
0.000 0.000 0.500 Au
0.000 0.500 0.000 Au
0.250 0.250 0.750 Au
0.250 0.750 0.250 Au
0.500 0.000 0.000 Au
0.500 0.500 0.500 Au
0.750 0.250 0.250 Au
0.750 0.750 0.750 Au
```

Values from the calculation:
Its space group is F-43m (216). The value obtained for the total energy is -2.74 eV/atom. Its formation energy is -0.09 eV/atom.


7.
Entry from OQMD via LeMat-Bulk: an optimized crystal structure of TbHgPt (PBE).

Structure (POSCAR):
```
TbHgPt
1.0
6.675 0.000 0.000
0.000 6.675 0.000
0.000 0.000 6.675
Tb Hg Pt
4 4 4
direct
0.000 0.000 0.000 Tb
0.000 0.500 0.500 Tb
0.500 0.000 0.500 Tb
0.500 0.500 0.000 Tb
0.000 0.000 0.500 Hg
0.000 0.500 0.000 Hg
0.500 0.000 0.000 Hg
0.500 0.500 0.500 Hg
0.250 0.250 0.750 Pt
0.250 0.750 0.250 Pt
0.750 0.250 0.250 Pt
0.750 0.750 0.750 Pt
```

Values from the calculation:
Its space group is F-43m (216). The value obtained for the total energy is -4.42 eV/atom. Its formation energy is -0.76 eV/atom.


8.
Entry from OQMD via LeMat-Bulk: an optimized crystal structure of Tl2Cu2Pd3Se8 (PBE).

Structure (POSCAR):
```
Tl2Cu2Pd3Se8
1.0
7.166 -1.898 0.000
7.166 1.898 0.000
-5.924 0.000 12.968
Tl Cu Pd Se
2 2 3 8
direct
0.158 0.158 0.303 Tl
0.842 0.842 0.697 Tl
0.459 0.459 0.302 Cu
0.541 0.541 0.698 Cu
0.000 0.000 0.500 Pd
0.161 0.161 0.884 Pd
0.839 0.839 0.116 Pd
0.145 0.145 0.694 Se
0.211 0.211 0.079 Se
0.395 0.395 0.531 Se
0.466 0.466 0.135 Se
0.534 0.534 0.865 Se
0.605 0.605 0.469 Se
0.789 0.789 0.921 Se
0.855 0.855 0.306 Se
```

Values from the calculation:
Its space group is C2/m (12). The value obtained for the total energy is -3.92 eV/atom.


9.
Entry from OQMD via LeMat-Bulk: an optimized crystal structure of SbOsPb2 (PBE).

Structure (POSCAR):
```
SbOsPb2
1.0
7.173 0.000 0.000
0.000 7.173 0.000
0.000 0.000 7.173
Sb Os Pb
4 4 8
direct
0.000 0.000 0.000 Sb
0.000 0.500 0.500 Sb
0.500 0.000 0.500 Sb
0.500 0.500 0.000 Sb
0.250 0.250 0.250 Os
0.250 0.750 0.750 Os
0.750 0.250 0.750 Os
0.750 0.750 0.250 Os
0.000 0.000 0.500 Pb
0.000 0.500 0.000 Pb
0.250 0.250 0.750 Pb
0.250 0.750 0.250 Pb
0.500 0.000 0.000 Pb
0.500 0.500 0.500 Pb
0.750 0.250 0.250 Pb
0.750 0.750 0.750 Pb
```

Values from the calculation:
Its space group is F-43m (216). The value obtained for the total energy is -4.92 eV/atom.


10.
Entry from OQMD via LeMat-Bulk: an optimized crystal structure of NdSbPb2O6 (PBE).

Structure (POSCAR):
```
NdSbPb2O6
1.0
5.190 -2.931 0.000
5.190 2.931 0.000
-3.162 0.000 9.896
Nd Sb Pb O
2 2 4 12
direct
0.248 0.752 0.750 Nd
0.752 0.248 0.250 Nd
0.000 0.500 0.000 Sb
0.500 0.000 0.500 Sb
0.094 0.640 0.378 Pb
0.360 0.906 0.122 Pb
0.640 0.094 0.878 Pb
0.906 0.360 0.622 Pb
0.099 0.710 0.925 O
0.111 0.205 0.843 O
0.205 0.111 0.343 O
0.290 0.901 0.575 O
0.309 0.363 0.605 O
0.363 0.309 0.105 O
0.637 0.691 0.895 O
0.691 0.637 0.395 O
0.710 0.099 0.425 O
0.795 0.889 0.657 O
0.889 0.795 0.157 O
0.901 0.290 0.075 O
```

Values from the calculation:
Its space group is C2/c (15). For the energy above the most stable polymorph in this dataset, the calculation gives 0 meV per atom. The value obtained for the total energy is -6.42 eV/atom.


11.
Entry from OQMD via LeMat-Bulk: an optimized crystal structure of KNdTe3Pd (PBE).

Structure (POSCAR):
```
KNdTe3Pd
1.0
2.252 -8.830 0.000
2.252 8.830 0.000
0.000 0.000 10.315
K Nd Te Pd
2 2 6 2
direct
0.246 0.754 0.750 K
0.754 0.246 0.250 K
0.000 0.000 0.000 Nd
0.000 0.000 0.500 Nd
0.100 0.900 0.250 Te
0.384 0.616 0.095 Te
0.384 0.616 0.405 Te
0.616 0.384 0.595 Te
0.616 0.384 0.905 Te
0.900 0.100 0.750 Te
0.494 0.506 0.750 Pd
0.506 0.494 0.250 Pd
```

Values from the calculation:
Its space group is Cmcm (63). The value obtained for the total energy is -4.39 eV/atom.


12.
Entry from OQMD via LeMat-Bulk: an optimized crystal structure of ScBeCuSi (PBE).

Structure (POSCAR):
```
ScBeCuSi
1.0
6.021 0.000 0.000
0.000 6.021 0.000
0.000 0.000 6.021
Sc Be Cu Si
4 4 4 4
direct
0.000 0.000 0.000 Sc
0.000 0.500 0.500 Sc
0.500 0.000 0.500 Sc
0.500 0.500 0.000 Sc
0.250 0.250 0.250 Be
0.250 0.750 0.750 Be
0.750 0.250 0.750 Be
0.750 0.750 0.250 Be
0.000 0.000 0.500 Cu
0.000 0.500 0.000 Cu
0.500 0.000 0.000 Cu
0.500 0.500 0.500 Cu
0.250 0.250 0.750 Si
0.250 0.750 0.250 Si
0.750 0.250 0.250 Si
0.750 0.750 0.750 Si
```

Values from the calculation:
Its space group is F-43m (216). For the energy above the most stable polymorph in this dataset, the calculation gives 15 meV per atom. The value obtained for the total energy is -4.90 eV/atom.